{"formula": "SnTePbO6", "functional": "PBE", "state": "optimized geometry", "formation_energy_uncorrected_mev_per_atom": -1305, "spacegroup": "P-31c (163)", "cell": [[5.4172, 0.0000, 0.0000], [-2.7086, 4.6914, 0.0000], [0.0000, 0.0000, 10.8522]], "species": ["Sn", "Sn", "Te", "Te", "Pb", "Pb", "O", "O", "O", "O", "O", "O", "O", "O", "O", "O", "O", "O"], "fractional_positions": [[0.6667, 0.3333, 0.2500], [0.3333, 0.6667, 0.7500], [0.3333, 0.6667, 0.2500], [0.6667, 0.3333, 0.7500], [0.0000, 0.0000, 0.0000], [0.0000, 0.0000, 0.5000], [0.6132, 0.6317, 0.1469], [0.0184, 0.3868, 0.1469], [0.3868, 0.0184, 0.6469], [0.9816, 0.6132, 0.8531], [0.3683, 0.3868, 0.3531], [0.0184, 0.6317, 0.3531], [0.6317, 0.0184, 0.8531], [0.6132, 0.9816, 0.3531], [0.9816, 0.3683, 0.6469], [0.3683, 0.9816, 0.1469], [0.6317, 0.6132, 0.6469], [0.3868, 0.3683, 0.8531]]}

---

{"formula": "Sr12Zn3Cl5", "functional": "PBE", "state": "optimized geometry", "formation_energy_uncorrected_mev_per_atom": -811, "spacegroup": "Ia-3d (230)", "cell": [[16.0645, 0.0000, 0.0000], [-5.3548, 15.1458, 0.0000], [-5.3548, -7.5729, 13.1166]], "species": ["Zn", "Zn", "Zn", "Zn", "Zn", "Zn", "Zn", "Zn", "Zn", "Zn", "Zn", "Zn", "Cl", "Cl", "Cl", "Cl", "Cl", "Cl", "Cl", "Cl", "Cl", "Cl", "Cl", "Cl", "Cl", "Cl", "Cl", "Cl", "Cl", "Cl", "Cl", "Cl", "Sr", "Sr", "Sr", "Sr", "Sr", "Sr", "Sr", "Sr", "Sr", "Sr", "Sr", "Sr", "Sr", "Sr", "Sr", "Sr", "Sr", "Sr", "Sr", "Sr", "Sr", "Sr", "Sr", "Sr", "Sr", "Sr", "Sr", "Sr", "Sr", "Sr", "Sr", "Sr", "Sr", "Sr", "Sr", "Sr", "Sr", "Sr", "Sr", "Sr", "Sr", "Sr", "Sr", "Sr", "Sr", "Sr", "Sr", "Sr"], "fractional_positions": [[0.7500, 0.3750, 0.1250], [0.8750, 0.7500, 0.1250], [0.3750, 0.7500, 0.6250], [0.2500, 0.1250, 0.3750], [0.8750, 0.1250, 0.2500], [0.3750, 0.6250, 0.2500], [0.6250, 0.3750, 0.7500], [0.1250, 0.8750, 0.7500], [0.7500, 0.8750, 0.6250], [0.6250, 0.2500, 0.3750], [0.1250, 0.2500, 0.8750], [0.2500, 0.6250, 0.8750], [0.1250, 0.3750, 0.2500], [0.0000, 0.5000, 0.0000], [0.0000, 0.0000, 0.0000], [0.3750, 0.2500, 0.1250], [0.5000, 0.0000, 0.5000], [0.5000, 0.5000, 0.0000], [0.1250, 0.7500, 0.3750], [0.7500, 0.1250, 0.8750], [0.7500, 0.6250, 0.3750], [0.3750, 0.1250, 0.7500], [0.6250, 0.8750, 0.2500], [0.5000, 0.5000, 0.5000], [0.5000, 0.0000, 0.0000], [0.0000, 0.0000, 0.5000], [0.2500, 0.3750, 0.6250], [0.2500, 0.8750, 0.1250], [0.0000, 0.5000, 0.5000], [0.8750, 0.2500, 0.6250], [0.6250, 0.7500, 0.8750], [0.8750, 0.6250, 0.7500], [0.7229, 0.1303, 0.0444], [0.3215, 0.5444, 0.4141], [0.9556, 0.3697, 0.2771], [0.5444, 0.2229, 0.1303], [0.5926, 0.7229, 0.6785], [0.9556, 0.5859, 0.1785], [0.3215, 0.7771, 0.4074], [0.0859, 0.9074, 0.1303], [0.5859, 0.9556, 0.6785], [0.7229, 0.5926, 0.1785], [0.7771, 0.4556, 0.3697], [0.8215, 0.9141, 0.0444], [0.1303, 0.7229, 0.5444], [0.3697, 0.4141, 0.0926], [0.0926, 0.9141, 0.3697], [0.4074, 0.1303, 0.5859], [0.0926, 0.1785, 0.2229], [0.4556, 0.6785, 0.0859], [0.8215, 0.9074, 0.2771], [0.1303, 0.4074, 0.0859], [0.3697, 0.9556, 0.7771], [0.5859, 0.6303, 0.4074], [0.9141, 0.8215, 0.5444], [0.7771, 0.3215, 0.9074], [0.4141, 0.3697, 0.5926], [0.0859, 0.1785, 0.4556], [0.2229, 0.6785, 0.0926], [0.1785, 0.0926, 0.7229], [0.6303, 0.0444, 0.2229], [0.8697, 0.5926, 0.9141], [0.5444, 0.3215, 0.9141], [0.5926, 0.8697, 0.4141], [0.9074, 0.8215, 0.7771], [0.9074, 0.0859, 0.6303], [0.8697, 0.2771, 0.4556], [0.1785, 0.0859, 0.9556], [0.6303, 0.5859, 0.9074], [0.4141, 0.0444, 0.3215], [0.2771, 0.4074, 0.8215], [0.2229, 0.5444, 0.6303], [0.9141, 0.0926, 0.8697], [0.6785, 0.2229, 0.5926], [0.4556, 0.7771, 0.8697], [0.0444, 0.4141, 0.8215], [0.4074, 0.2771, 0.3215], [0.0444, 0.6303, 0.7229], [0.6785, 0.4556, 0.5859], [0.2771, 0.8697, 0.9556]]}

---

{"formula": "Pr2Dy2YEr2", "functional": "PBE", "state": "optimized geometry", "ef_ev_per_atom": 0.05, "spacegroup": "C2/m (12)", "cell": [[3.5521, 0.0000, 0.0000], [-1.7761, 8.4535, -0.0138], [0.0000, -4.2271, 7.6655]], "species": ["Pr", "Pr", "Dy", "Dy", "Y", "Er", "Er"], "fractional_positions": [[0.7047, 0.4095, 0.7889], [0.2953, 0.5905, 0.2111], [0.0698, 0.1396, 0.9309], [0.9302, 0.8604, 0.0691], [0.0000, 0.0000, 0.5000], [0.6375, 0.2750, 0.3331], [0.3625, 0.7250, 0.6669]]}

---

{"formula": "TmThCoCu", "functional": "PBE", "state": "optimized geometry", "de_polymorph_kj_per_mol_atoms": 12.2, "ef_ev_per_atom": -0.18, "spacegroup": "F-43m (216)", "cell": [[4.8742, 0.0000, 0.0000], [2.4371, 4.2212, 0.0000], [2.4371, 1.4071, 3.9797]], "species": ["Tm", "Co", "Cu", "Th"], "fractional_positions": [[0.5000, 0.5000, 0.5000], [0.7500, 0.7500, 0.7500], [0.2500, 0.2500, 0.2500], [0.0000, 0.0000, 0.0000]]}

---

{"formula": "Zr2Sb", "functional": "PBE", "state": "optimized geometry", "formation_energy_uncorrected_mev_per_atom": -499, "spacegroup": "Cm (8)", "cell": [[0.6724, -2.5418, 4.9078], [1.4479, 1.0865, 5.2652], [-6.5291, 1.1080, 2.9199]], "species": ["Zr", "Zr", "Zr", "Zr", "Sb", "Sb"], "fractional_positions": [[0.6625, 0.6625, 0.6912], [0.5932, 0.5932, 0.2508], [0.9467, 0.9467, 0.5911], [0.3131, 0.3131, 0.9526], [0.0240, 0.0240, 0.9753], [0.2937, 0.2937, 0.3724]]}

---

{"formula": "Tb3Zn2Ga3", "functional": "PBE", "state": "optimized geometry", "ef_ev_per_atom": -0.57, "spacegroup": "Cmcm (63)", "cell": [[-1.8694, -0.5442, 3.9398], [3.0775, -4.5719, -1.6223], [11.7925, 5.6743, 6.3793]], "species": ["Tb", "Tb", "Tb", "Tb", "Tb", "Tb", "Zn", "Zn", "Zn", "Zn", "Ga", "Ga", "Ga", "Ga", "Ga", "Ga"], "fractional_positions": [[0.9097, 0.8194, 0.3890], [0.0903, 0.1806, 0.8890], [0.9097, 0.8194, 0.1110], [0.0903, 0.1806, 0.6110], [0.6340, 0.2680, 0.2500], [0.3660, 0.7320, 0.7500], [0.7942, 0.5885, 0.9019], [0.2058, 0.4115, 0.4019], [0.7942, 0.5885, 0.5981], [0.2058, 0.4115, 0.0981], [0.6108, 0.2215, 0.4602], [0.3892, 0.7785, 0.9602], [0.6108, 0.2215, 0.0398], [0.3892, 0.7785, 0.5398], [0.3417, 0.6834, 0.2500], [0.6583, 0.3166, 0.7500]]}

---

- Number 3 is which compound?
  Pr2Dy2YEr2